The following is a PBEsol calculation of Y2AlTe after structural relaxation, from Alexandria.

Computed properties:
Calculated total energy ... -24.5 eV/cell
Formation energy (no corrections) ... -0.808 eV/atom
Space group ... R-3m

Structure (extended XYZ):
```
4
Lattice="-3.644 1.661 0.231 -2.507 -0.222 -3.123 -4.906 -6.169 1.802" Properties=species:S:1:pos:R:3 pbc="T T T"
Y -8.305 -3.575 -0.806
Y -2.752 -1.155 -0.284
Te -5.528 -2.365 -0.545
Al 0.000 0.000 0.000
```



The following is a PBEsol calculation of YAlTe2 after structural relaxation, from Alexandria.

Computed properties:
Calculated total energy ... -21.0 eV/cell
Formation energy (no corrections) ... -0.768 eV/atom
Space group ... P4/mmm

Structure (extended XYZ):
```
4
Lattice="4.275 0.000 0.000 0.000 4.275 0.000 0.000 0.000 6.087" Properties=species:S:1:pos:R:3 pbc="T T T"
Y 0.000 0.000 0.000
Te 0.000 0.000 3.044
Te 2.138 2.138 0.000
Al 2.138 2.138 3.044
```